No. 1
ZrTl2S GGA-PBE optimized geometry; total magnetization = 1.347 μB per formula unit; space group = Fm-3m (225); E_tot = -3.935 eV/atom; D(E_F) = 4.49 states/eV per cell
1.0
0.0000 3.6579 3.6579
3.6579 0.0000 3.6579
3.6579 3.6579 0.0000
Zr Tl S
1 2 1
Direct
0.0000 0.0000 0.0000
0.2500 0.2500 0.2500
0.7500 0.7500 0.7500
0.5000 0.5000 0.5000

=====

No. 2
Ba3PaHg2O8 GGA-PBE optimized geometry; total magnetization = 0.000 μB per formula unit; space group = P-3m1 (164); E_tot = -5.997 eV/atom; D(E_F) = 9.55 states/eV per cell
1.0
6.1292 0.0000 0.0000
-3.0646 5.3081 0.0000
0.0000 0.0000 8.2480
Ba Pa Hg O
3 1 2 8
Direct
0.0000 0.0000 0.0000
0.3333 0.6667 0.6303
0.6667 0.3333 0.3697
0.0000 0.0000 0.5000
0.3333 0.6667 0.1728
0.6667 0.3333 0.8272
0.1623 0.3245 0.3458
0.1623 0.8377 0.3458
0.3245 0.1623 0.6542
0.3333 0.6667 0.9258
0.6667 0.3333 0.0742
0.6755 0.8377 0.3458
0.8377 0.1623 0.6542
0.8377 0.6755 0.6542

=====

Number 1: uncorrected formation energy 0.417 eV per atom. Number 2: uncorrected formation energy -2.031 eV per atom.